First-principles (PBE) data for an optimized crystal structure of Ti2MnBe, as listed in Alexandria.

The spin magnetization comes out at 0.2 μB per formula unit. The calculation puts the total energy at -0.5031 Ry/atom. The energy of formation from the pure elements comes out at 0.326 eV per atom.

The structure belongs to space group I-42d (No. 122); the cell edges are 6.619, 6.619 and 4.971 Å and the angles 90.00°, 90.00° and 90.00°. The inequivalent atoms are Ti at (0.239, 0.750, 0.125), Mn at (0.000, 0.000, 0.000) and Be at (0.000, 0.000, 0.500).